Record 1
Density functional theory data (PBE) for Ca2LaHgB after structural relaxation.

Calculated values
Fermi-level density of states   1.38 states/eV per atom
Formation energy   0.9103 eV per atom
Crystal system   tetragonal
Space-group type   P4/mmm, No. 123
V   193.5 Å³/f.u.
M_tot   1.9 Bohr magnetons per cell

a = 5.7203 Å, b = 5.9140 Å, c = 5.7203 Å
α = 90.00°, β = 90.00°, γ = 90.00°
Each line ends with the local moment (μB).
Positions (direct):
Ca 0.0000 0.0000 0.5000  0.03
Ca 0.5000 0.0000 0.0000  0.04
B 0.5000 0.5000 0.5000  0.35
Hg 0.0000 0.0000 0.0000  0.03
La 0.0000 0.5000 0.0000  0.15

---

Record 2
Density functional theory data (PBE) for CaMnHgB2 after structural relaxation.

Calculated values
Fermi-level density of states   0.28 states/eV per atom
Formation energy   0.4411 eV per atom
Crystal system   tetragonal
Space-group type   P4/mmm, No. 123
V   81.3 Å³/f.u.
M_tot   0.6 Bohr magnetons per cell

a = 4.0708 Å, b = 4.9086 Å, c = 4.0708 Å
α = 90.00°, β = 90.00°, γ = 90.00°
Each line ends with the local moment (μB).
Positions (direct):
Ca 0.5000 0.5000 0.5000  -0.03
Mn 0.0000 0.0000 0.0000  0.81
Hg 0.0000 0.5000 0.0000  -0.01
B 0.0000 0.0000 0.5000  -0.01
B 0.5000 0.0000 0.0000  -0.05

---

Record 3
Density functional theory data (PBE) for CaHgBN2 after structural relaxation.

Calculated values
Fermi-level density of states   0.36 states/eV per atom
Total DFT energy (no corrections)   -3.72 eV/atom
Crystal system   tetragonal
Space-group type   P4/mmm, No. 123
V   70.2 Å³/f.u.
M_tot   0.5 Bohr magnetons per cell

a = 3.7630 Å, b = 4.9564 Å, c = 3.7630 Å
α = 90.00°, β = 90.00°, γ = 90.00°
Each line ends with the local moment (μB).
Positions (direct):
Ca 0.0000 0.5000 0.0000  -0.04
B 0.0000 0.0000 0.0000  -0.06
Hg 0.5000 0.5000 0.5000  0.00
N 0.0000 0.0000 0.5000  0.23
N 0.5000 0.0000 0.0000  0.30

---

Record 4
Density functional theory data (PBE) for Ca2HgB2O6 after structural relaxation.

Calculated values
Fermi-level density of states   0.00 states/eV per atom
Total DFT energy (no corrections)   -6.64 eV/atom
Crystal system   triclinic
Space-group type   P-1, No. 2
V   155.2 Å³/f.u.
M_tot   0.0 Bohr magnetons per cell

a = 6.0643 Å, b = 6.2214 Å, c = 6.3551 Å
α = 106.64°, β = 98.20°, γ = 42.78°
Positions (direct):
Ca 0.8539 0.3332 0.8224
Ca 0.1461 0.6668 0.1776
Hg 0.5000 0.0000 0.5000
B 0.0757 0.7231 0.7467
B 0.9243 0.2769 0.2533
O 0.2934 0.7281 0.8337
O 0.9846 0.4212 0.1858
O 0.8973 0.9049 0.5864
O 0.0154 0.5788 0.8142
O 0.1027 0.0951 0.4136
O 0.7066 0.2719 0.1663

---

Record 5
Density functional theory data (PBE) for CaHg2BP after structural relaxation.

Calculated values
Fermi-level density of states   0.86 states/eV per atom
Formation energy   1.4863 eV per atom
Crystal system   tetragonal
Space-group type   P4/mmm, No. 123
V   159.9 Å³/f.u.
M_tot   0.0 Bohr magnetons per cell

a = 5.6903 Å, b = 4.9370 Å, c = 5.6903 Å
α = 90.00°, β = 90.00°, γ = 90.00°
Positions (direct):
P 0.5000 0.5000 0.5000
Ca 0.0000 0.0000 0.0000
B 0.0000 0.5000 0.0000
Hg 0.0000 0.0000 0.5000
Hg 0.5000 0.0000 0.0000

---

Record 6
Density functional theory data (PBE) for Ca3HgB2Pd9 after structural relaxation.

Calculated values
Fermi-level density of states   0.32 states/eV per atom
Formation energy   -0.5252 eV per atom
Crystal system   trigonal
Space-group type   P-3m1, No. 164
V   277.4 Å³/f.u.
M_tot   0.0 Bohr magnetons per cell

a = 5.8529 Å, b = 5.8529 Å, c = 9.3495 Å
α = 90.00°, β = 90.00°, γ = 120.00°
Positions (direct):
Ca 0.3333 0.6667 0.6468
Ca 0.0000 0.0000 0.0000
Ca 0.6667 0.3333 0.3532
Hg 0.0000 0.0000 0.5000
B 0.3333 0.6667 0.1435
B 0.6667 0.3333 0.8565
Pd 0.8364 0.1636 0.7358
Pd 0.8364 0.6727 0.7358
Pd 0.3273 0.1636 0.7358
Pd 0.6727 0.8364 0.2642
Pd 0.1636 0.3273 0.2642
Pd 0.1636 0.8364 0.2642
Pd 0.5000 0.0000 0.0000
Pd 0.0000 0.5000 0.0000
Pd 0.5000 0.5000 0.0000